VASP calculation (GGA-PBE) on a relaxed structure of Sm2HgAu6.

It has space group C2/m (No. 12), with a = 11.207 Å, b = 6.495 Å, c = 5.510 Å, α = 90.00°, β = 90.11° and γ = 90.00°. The distinct sites, in fractional coordinates, are Sm at (0.167, 0.000, 0.328), Hg at (0.000, 0.500, 0.500), Au at (0.094, 0.217, 0.824) and Au at (0.188, 0.500, 0.175).

The total magnetization is 0.0 μB per formula unit. As for the energy of formation: -0.502 eV per atom. The calculation puts the density of states at the Fermi level at 0.4233 states/eV per atom.